Material: YCo2Si
Method: DFT, PBE-GGA
State: relaxed

Properties
- raw formation energy (eV/atom) = -0.121
- DFT total energy (Ry/atom) = -0.488
- total moment (μB per atom) = 0.61

The structure in CIF format:
```
data_YCo2Si
_chemical_formula_sum 'Y1 Co2 Si1'
_symmetry_space_group_name_H-M 'P 4 m m'
_symmetry_Int_Tables_number 99
_symmetry_space_group_name_Hall 'P 4 -2'
_cell_length_a 3.0733
_cell_length_b 3.0733
_cell_length_c 6.4892
_cell_angle_alpha 90.00
_cell_angle_beta 90.00
_cell_angle_gamma 90.00
loop_
_atom_site_label
_atom_site_fract_x
_atom_site_fract_y
_atom_site_fract_z
Y1 0.0000 0.0000 0.0000
Co1 0.0000 0.0000 0.5003
Co2 0.5000 0.5000 0.3080
Si1 0.5000 0.5000 0.6715
```